VASP calculation (PBE) on an optimized crystal structure of SrMg2PtAu.

Unit cell a=6.841 b=6.841 c=6.841 alpha=143.01 beta=143.01 gamma=53.30
Atoms (fractional coordinates):
Au 0.389 0.389 0.000
Mg 0.745 0.245 0.500
Mg 0.245 0.745 0.500
Pt 0.617 0.617 0.000
Sr 0.004 0.004 0.000

Calculated values
calculated volume: 23.0 Å³/atom
E_tot: -0.26098 Ry per atom
spin magnetization: 0.015 μB/f.u.